Entry 1:
The following is a GGA-PBE calculation of an optimized crystal structure of Pm3HoEr2Se6, from Alexandria.

Unit cell a=9.2591 b=9.2591 c=8.3377 alpha=104.53 beta=104.53 gamma=25.44
Closest atoms and distances in Å follow each position.
Positions (direct):
1 Pm 0.0000 0.0000 0.0000  6 Se 2.97
2 Pm 0.3339 0.3339 0.6668  6 Se 2.97-2.98
3 Pm 0.6661 0.6661 0.3332  6 Se 2.97-2.98
4 Ho 0.0000 0.0000 0.5000  6 Se 2.86
5 Er 0.3335 0.3335 0.1672  6 Se 2.84-2.86
6 Er 0.6665 0.6665 0.8328  6 Se 2.84-2.86
7 Se 0.1640 0.1640 0.5923  2 Er 2.85, 1 Ho 2.86, 3 Pm 2.97-2.98
8 Se 0.1701 0.1701 0.0746  3 Er 2.85-2.86, 3 Pm 2.97-2.98
9 Se 0.4964 0.4964 0.2573  1 Er 2.84, 2 Ho 2.86, 3 Pm 2.97
10 Se 0.5036 0.5036 0.7427  1 Er 2.84, 2 Ho 2.86, 3 Pm 2.97
11 Se 0.8299 0.8299 0.9254  3 Er 2.85-2.86, 3 Pm 2.97-2.98
12 Se 0.8360 0.8360 0.4077  2 Er 2.85, 1 Ho 2.86, 3 Pm 2.97-2.98

Output
- space-group type = C2/m
- electronic total energy (eV/atom) = -5.847



Entry 2:
The following is a GGA-PBE calculation of an optimized crystal structure of NaBiSb2, from Alexandria.

Unit cell a=7.9164 b=7.9164 c=7.9164 alpha=123.10 beta=123.10 gamma=84.71
Closest atoms and distances in Å follow each position.
Positions (direct):
1 Na 0.0000 0.0000 0.0000  4 Sb 3.16
2 Na 0.7500 0.2500 0.5000  4 Sb 3.16
3 Bi 0.2500 0.7500 0.5000  4 Sb 2.93
4 Bi 0.5000 0.5000 0.0000  4 Sb 2.93
5 Sb 0.1491 0.6250 0.0241  2 Bi 2.93, 2 Na 3.16
6 Sb 0.3750 0.3991 0.5241  2 Bi 2.93, 2 Na 3.16
7 Sb 0.6009 0.1250 0.9759  2 Bi 2.93, 2 Na 3.16
8 Sb 0.8750 0.8509 0.4759  2 Bi 2.93, 2 Na 3.16

Output
- space-group type = I-42d
- electronic total energy (eV/atom) = -3.219



Entry 3:
The following is a GGA-PBE calculation of an optimized crystal structure of RbBiN, from Alexandria.

Unit cell a=3.4190 b=3.8717 c=14.2761 alpha=89.90 beta=85.76 gamma=89.87
Closest atoms and distances in Å follow each position.
Positions (direct):
1 Rb 0.1528 0.2475 0.3140  4 N 3.00
2 Rb 0.8472 0.7525 0.6860  4 N 3.00
3 Bi 0.2172 0.7487 0.1057  2 N 2.23
4 Bi 0.7828 0.2513 0.8943  2 N 2.23
5 N 0.3141 0.2516 0.7934  2 Bi 2.23
6 N 0.6859 0.7484 0.2066  2 Bi 2.23

Output
- space-group type = P-1
- ΔE to the lowest computed polymorph (kJ/mol of formula units) = 0
- electronic total energy (eV/atom) = -4.029



Entry 4:
The following is a GGA-PBE calculation of an optimized crystal structure of Dy2ErGe2, from Alexandria.

Unit cell a=6.4779 b=6.4779 c=10.4391 alpha=115.26 beta=115.26 gamma=39.32
Closest atoms and distances in Å follow each position.
Positions (direct):
1 Dy 0.0172 0.0172 0.1866  6 Ge 3.02-3.24
2 Dy 0.1819 0.1819 0.5863  3 Ge 2.99-3.33
3 Dy 0.8181 0.8181 0.4137  3 Ge 2.99-3.33
4 Dy 0.9828 0.9828 0.8134  6 Ge 3.02-3.24
5 Er 0.2821 0.2821 0.1416  4 Ge 2.81-2.96
6 Er 0.7179 0.7179 0.8584  4 Ge 2.81-2.96
7 Ge 0.3811 0.3811 0.9344  1 Ge 2.59, 2 Er 2.81
8 Ge 0.4716 0.4716 0.6080  1 Ge 2.64, 1 Er 2.96
9 Ge 0.5284 0.5284 0.3920  1 Ge 2.64, 1 Er 2.96
10 Ge 0.6189 0.6189 0.0656  1 Ge 2.59, 2 Er 2.81

Output
- space-group type = C2/m
- ΔE_f (eV/atom) = -0.69
- ΔE to the lowest computed polymorph (kJ/mol of formula units) = 50
- electronic total energy (eV/atom) = -5.287



> Which formula does entry 2 have?

NaBiSb2



> Which value of electronic total energy does entry 2 give?

-3.219 eV/atom



> Which formula does entry 2 have?

NaBiSb2